Record 1
The following is a DFT calculation (GGA-PBE) of an optimized crystal structure of Ba12Tl3Ni5.

The structure in extended XYZ format:
```
80
Lattice="16.676 0.000 0.000 -5.559 15.723 0.000 -5.559 -7.861 13.616" Properties=species:S:1:pos:R:3 pbc="T T T"
Ba 9.766 -5.545 11.967
Ba 10.412 0.888 6.418
Ba 11.909 7.907 2.440
Ba 8.484 4.433 5.159
Ba 3.485 2.071 4.368
Ba -2.925 -6.182 13.226
Ba 4.131 6.517 5.627
Ba 6.350 -2.136 12.435
Ba -5.413 6.182 13.226
Ba -5.704 11.290 5.159
Ba 7.633 8.749 7.198
Ba 6.264 6.678 10.786
Ba 1.988 2.136 12.435
Ba 0.705 9.933 9.248
Ba 10.972 1.679 0.390
Ba -2.074 -0.888 6.418
Ba -1.988 0.045 11.176
Ba -4.853 6.974 7.198
Ba 9.044 -1.184 2.830
Ba 3.571 5.725 1.181
Ba 1.428 1.344 7.989
Ba -0.705 1.184 2.830
Ba -1.351 9.206 5.627
Ba 2.074 5.790 9.248
Ba -3.485 9.045 10.786
Ba -0.791 9.997 1.181
Ba 0.146 5.108 5.549
Ba -6.350 -0.045 11.176
Ba 2.634 10.615 5.549
Ba 6.350 2.091 12.357
Ba 6.987 2.316 1.649
Ba -0.791 5.771 1.259
Ba -1.428 5.545 11.967
Ba 6.987 12.062 3.978
Ba 12.469 3.660 3.978
Ba 7.547 7.816 2.440
Ba -6.910 4.201 9.638
Ba 8.484 14.043 0.390
Ba -1.428 -4.201 9.638
Ba 1.988 -2.091 12.357
Ba 6.910 -1.344 7.989
Ba 3.571 9.952 1.259
Ba 5.413 2.753 8.067
Ba -4.208 13.407 1.649
Ba -2.925 3.429 8.457
Ba 2.925 -2.753 8.067
Ba 4.854 -2.071 4.368
Ba 11.263 -3.429 8.457
Ni 1.390 4.913 11.914
Ni -1.390 0.983 8.510
Ni -2.779 -3.931 6.808
Ni 5.559 -3.931 6.808
Ni -1.390 3.931 3.404
Ni 8.338 0.000 0.000
Ni 6.949 -4.913 11.914
Ni 9.728 -0.983 8.510
Ni 2.779 3.931 6.808
Ni 6.949 6.879 5.106
Ni -1.390 12.775 1.702
Ni 6.949 3.931 10.212
Ni 4.169 11.792 3.404
Ni 4.169 2.948 1.702
Ni 5.559 7.861 0.000
Ni -4.169 8.844 5.106
Ni 1.390 -3.931 10.212
Ni -2.779 7.861 0.000
Ni -5.559 3.931 6.808
Ni 0.000 0.000 0.000
Tl 1.390 7.861 3.404
Tl 9.728 10.809 1.702
Tl 9.728 4.913 1.702
Tl 6.949 0.983 5.106
Tl 1.390 -0.983 5.106
Tl 4.169 8.844 8.510
Tl 4.169 0.000 10.212
Tl -1.390 6.879 8.510
Tl -6.949 7.861 10.212
Tl 12.507 0.000 3.404
Tl -4.169 2.948 11.914
Tl -4.169 -2.948 11.914
```

Values from the calculation:
**E_form**: 0.07 eV/atom

=====

Record 2
The following is a DFT calculation (GGA-PBE) of an optimized crystal structure of Cr2MoW.

The structure in extended XYZ format:
```
4
Lattice="-2.095 3.654 6.969 -2.365 0.892 7.740 0.214 2.171 7.845" Properties=species:S:1:pos:R:3 pbc="T T T"
Cr -4.245 6.714 22.546
Cr -2.125 3.361 11.284
W -3.185 5.038 16.915
Mo -1.062 1.679 5.638
```

Values from the calculation:
**E_form**: 0.42 eV/atom

=====

Record 3
The following is a DFT calculation (GGA-PBE) of an optimized crystal structure of AsRuRhSe2.

The structure in extended XYZ format:
```
5
Lattice="-0.639 -3.797 2.959 3.901 -2.158 -1.926 2.671 2.012 3.157" Properties=species:S:1:pos:R:3 pbc="T T T"
Se -0.320 -1.898 1.480
Se 1.950 -1.079 -0.963
Ru 0.000 0.000 0.000
As 1.336 1.006 1.579
Rh 2.966 -1.971 2.096
```

Values from the calculation:
**Energy relative to the elements, uncorrected**: 80.1 kJ per mole of atoms
**Polymorph energy (0 for the lowest one)**: 0.0 kJ/mol of atoms

=====

Record 4
The following is a DFT calculation (GGA-PBE) of an optimized crystal structure of PrHo2Tl2Zn2.

The structure in extended XYZ format:
```
7
Lattice="-0.228 1.740 -4.468 -1.811 -2.695 -3.536 -8.937 2.987 -0.959" Properties=species:S:1:pos:R:3 pbc="T T T"
Tl -2.412 0.375 -2.310
Tl -8.564 1.657 -6.654
Ho -5.300 0.350 -7.330
Ho -5.676 1.682 -1.634
Pr 0.000 0.000 0.000
Zn -7.293 1.738 -4.108
Zn -3.683 0.293 -4.855
```

Values from the calculation:
**E_form**: -0.18 eV/atom

=====

Record 5
The following is a DFT calculation (GGA-PBE) of an optimized crystal structure of KCo2Hg.

The structure in extended XYZ format:
```
4
Lattice="-4.802 1.883 -1.824 -0.344 -2.768 4.706 0.383 2.330 1.398" Properties=species:S:1:pos:R:3 pbc="T T T"
K 0.019 -0.219 3.052
Co -2.573 -0.442 1.441
Co 0.000 0.000 0.000
Hg -2.209 2.107 -0.213
```

Values from the calculation:
**E_form**: 1.04 eV/atom

=====

Record 6
The following is a DFT calculation (GGA-PBE) of an optimized crystal structure of CaY2Al2.

The structure in extended XYZ format:
```
5
Lattice="4.704 0.000 0.000 0.000 4.704 0.000 2.352 2.352 6.575" Properties=species:S:1:pos:R:3 pbc="T T T"
Al 2.352 2.352 1.277
Al 4.704 4.704 5.299
Ca 0.000 0.000 0.000
Y 4.704 2.352 3.288
Y 2.352 4.704 3.288
```

Values from the calculation:
**E_form**: -0.09 eV/atom
**Polymorph energy (0 for the lowest one)**: 19.3 kJ/mol of atoms

=====

Record 7
The following is a DFT calculation (GGA-PBE) of an optimized crystal structure of Sn2Te2Pd7Pt.

The structure in extended XYZ format:
```
12
Lattice="-0.554 1.788 3.477 2.788 -2.282 1.618 12.145 10.502 -1.157" Properties=species:S:1:pos:R:3 pbc="T T T"
Pd 12.131 7.983 0.136
Pd 8.767 5.874 2.902
Pd 2.247 2.024 3.803
Pd 10.460 10.019 1.065
Pd 3.919 -0.011 2.873
Pd 5.611 4.134 1.036
Pd 1.117 -0.247 2.548
Sn 10.614 7.666 2.298
Sn 3.764 2.341 1.640
Te 6.854 4.012 3.539
Te 7.524 5.996 0.399
Pt 0.000 0.000 0.000
```

Values from the calculation:
**Energy relative to the elements, uncorrected**: -23.9 kJ per mole of atoms

=====

Record 8
The following is a DFT calculation (GGA-PBE) of an optimized crystal structure of Hg2P.

The structure in extended XYZ format:
```
3
Lattice="-1.516 -3.873 3.195 2.841 -1.086 -4.273 2.406 0.312 1.520" Properties=species:S:1:pos:R:3 pbc="T T T"
P 0.000 0.000 0.000
Hg 3.794 -1.703 -0.264
Hg -0.064 -2.944 0.706
```

Values from the calculation:
**E_form**: 0.47 eV/atom
**Polymorph energy (0 for the lowest one)**: 37.0 kJ/mol of atoms

=====

Record 9
The following is a DFT calculation (GGA-PBE) of an optimized crystal structure of KPuPaS4.

The structure in extended XYZ format:
```
14
Lattice="8.368 0.000 0.000 -4.184 7.297 -0.534 0.000 -4.413 7.258" Properties=species:S:1:pos:R:3 pbc="T T T"
Pa -2.092 1.442 3.362
Pa 2.092 1.442 3.362
S 4.184 2.211 1.779
S 4.184 0.390 4.774
S 0.000 0.672 4.945
S -1.809 3.716 4.745
S 1.809 3.716 4.745
S 5.993 -0.832 1.979
S 0.000 2.493 1.950
S 2.375 -0.832 1.979
K 0.000 -2.054 6.207
K 4.184 4.938 0.517
Pu 4.184 0.000 0.000
Pu 4.184 -2.207 3.629
```

Values from the calculation:
**Energy relative to the elements, uncorrected**: -152.7 kJ per mole of atoms

=====

Record 10
The following is a DFT calculation (GGA-PBE) of an optimized crystal structure of Y5ThAu4.

The structure in extended XYZ format:
```
10
Lattice="-2.327 2.360 -1.351 0.872 -1.036 -3.313 -14.096 -13.591 0.539" Properties=species:S:1:pos:R:3 pbc="T T T"
Au -5.729 -5.524 0.219
Au -3.100 -2.989 0.119
Au -10.995 -10.602 0.420
Au -8.367 -8.067 0.320
Y -10.418 -8.682 -1.962
Y -7.775 -6.134 -2.063
Y -5.132 -3.585 -2.164
Y -13.036 -11.206 -1.862
Y -2.515 -1.061 -2.264
Th 0.000 0.000 0.000
```

Values from the calculation:
**E_form**: -0.69 eV/atom

=====

Record 11
The following is a DFT calculation (GGA-PBE) of an optimized crystal structure of NaLiTh2Te4.

The structure in extended XYZ format:
```
8
Lattice="-4.260 -0.399 0.680 -0.299 -5.516 -5.105 1.460 -3.323 7.191" Properties=species:S:1:pos:R:3 pbc="T T T"
Te 0.133 -4.966 -2.082
Te -1.850 -2.335 0.838
Te -1.248 -6.903 1.929
Te 1.029 -3.873 4.168
Th -1.400 -1.861 3.936
Th 0.581 -4.419 1.043
Na -2.279 -2.958 -2.212
Li 0.000 0.000 0.000
```

Values from the calculation:
**Energy relative to the elements, uncorrected**: -104.4 kJ per mole of atoms

=====

Record 12
The following is a DFT calculation (GGA-PBE) of an optimized crystal structure of AcTm5Sn6.

The structure in extended XYZ format:
```
12
Lattice="8.254 0.512 0.000 2.863 5.631 0.000 1.432 2.815 7.657" Properties=species:S:1:pos:R:3 pbc="T T T"
Sn 6.764 2.049 2.700
Sn 5.784 6.908 4.957
Sn 8.400 4.275 0.000
Sn 2.717 1.867 0.000
Sn 8.196 4.864 4.957
Sn 4.352 4.093 2.700
Tm 1.432 2.815 2.739
Tm 5.558 3.071 0.000
Tm 2.863 5.631 4.918
Tm 5.558 3.071 5.437
Tm 6.990 5.886 2.220
Ac 0.000 0.000 0.000
```

Values from the calculation:
**E_form**: -0.56 eV/atom

=====

Number 1: total DFT energy (no corrections) -2.88 eV/atom. Number 2: total DFT energy (no corrections) -10.34 eV/atom. Number 3: total DFT energy (no corrections) -4.82 eV/atom. Number 4: total DFT energy (no corrections) -3.21 eV/atom. Number 5: total DFT energy (no corrections) -2.86 eV/atom. Number 6: total DFT energy (no corrections) -4.57 eV/atom. Number 7: total DFT energy (no corrections) -4.97 eV/atom. Number 8: total DFT energy (no corrections) -1.53 eV/atom. Number 9: total DFT energy (no corrections) -7.50 eV/atom. Number 10: total DFT energy (no corrections) -5.97 eV/atom. Number 11: total DFT energy (no corrections) -4.91 eV/atom. Number 12: total DFT energy (no corrections) -4.77 eV/atom.